(1)
The following is a PBE calculation of an optimized crystal structure of Pr2PuBi2N2, from Alexandria via LeMat-Bulk.

Cell: 4.414 4.414 16.675 Å, 90.00 90.00 90.00°
Positions (direct):
1 Pr 0.000 0.000 0.103
2 Pr 0.000 0.000 0.897
3 Pr 0.500 0.500 0.397
4 Pr 0.500 0.500 0.603
5 Pu 0.000 0.000 0.500
6 Pu 0.500 0.500 0.000
7 Bi 0.000 0.000 0.305
8 Bi 0.000 0.000 0.695
9 Bi 0.500 0.500 0.195
10 Bi 0.500 0.500 0.805
11 N 0.000 0.500 0.000
12 N 0.000 0.500 0.500
13 N 0.500 0.000 0.000
14 N 0.500 0.000 0.500

Calculated values
Formation energy from raw total energies = -0.876 eV/atom
Mass density = 9.9 g/cm³
Fermi-level density of states = 19.15 states/eV/cell

***

(2)
The following is a PBE calculation of an optimized crystal structure of PrPuBiN2, from Alexandria via LeMat-Bulk.

Cell: 7.502 7.502 5.599 Å, 90.00 90.00 135.70°
Positions (direct):
1 Pr 0.090 0.910 0.750
2 Pr 0.910 0.090 0.250
3 Pu 0.429 0.571 0.750
4 Pu 0.571 0.429 0.250
5 Bi 0.248 0.752 0.250
6 Bi 0.752 0.248 0.750
7 N 0.272 0.272 0.000
8 N 0.272 0.272 0.500
9 N 0.728 0.728 0.000
10 N 0.728 0.728 0.500

Calculated values
Formation energy from raw total energies = -1.004 eV/atom
Mass density = 9.4 g/cm³
Fermi-level density of states = 13.00 states/eV/cell

***

(3)
The following is a PBE calculation of an optimized crystal structure of Pr3BiSN, from Alexandria via LeMat-Bulk.

Cell: 8.824 4.277 9.580 Å, 90.00 102.92 90.00°
Positions (direct):
1 Pr 0.070 0.250 0.349
2 Pr 0.335 0.250 0.980
3 Pr 0.392 0.750 0.656
4 Pr 0.608 0.250 0.344
5 Pr 0.665 0.750 0.020
6 Pr 0.930 0.750 0.651
7 Bi 0.311 0.750 0.277
8 Bi 0.689 0.250 0.723
9 S 0.158 0.250 0.652
10 S 0.842 0.750 0.348
11 N 0.406 0.750 0.897
12 N 0.594 0.250 0.103

Calculated values
Formation energy from raw total energies = -1.326 eV/atom
Mass density = 6.4 g/cm³
Fermi-level density of states = 5.66 states/eV/cell

***

(4)
The following is a PBE calculation of an optimized crystal structure of Pr4BiS2N, from Alexandria via LeMat-Bulk.

Cell: 7.387 7.387 14.435 Å, 90.00 90.00 147.01°
Positions (direct):
1 Pr 0.000 0.000 0.000
2 Pr 0.000 0.000 0.500
3 Pr 0.260 0.740 0.623
4 Pr 0.260 0.740 0.877
5 Pr 0.423 0.577 0.250
6 Pr 0.577 0.423 0.750
7 Pr 0.740 0.260 0.123
8 Pr 0.740 0.260 0.377
9 Bi 0.105 0.895 0.250
10 Bi 0.895 0.105 0.750
11 S 0.368 0.632 0.055
12 S 0.368 0.632 0.445
13 S 0.632 0.368 0.555
14 S 0.632 0.368 0.945
15 N 0.162 0.838 0.750
16 N 0.838 0.162 0.250

Calculated values
Formation energy from raw total energies = -1.508 eV/atom
Mass density = 6.6 g/cm³
Fermi-level density of states = 7.46 states/eV/cell

***

(5)
The following is a PBE calculation of an optimized crystal structure of Pr4BiSbN, from Alexandria via LeMat-Bulk.

Cell: 9.416 9.416 6.825 Å, 90.00 90.00 137.52°
Positions (direct):
1 Pr 0.000 0.500 0.000
2 Pr 0.000 0.500 0.500
3 Pr 0.074 0.926 0.750
4 Pr 0.415 0.585 0.750
5 Pr 0.500 0.000 0.000
6 Pr 0.500 0.000 0.500
7 Pr 0.585 0.415 0.250
8 Pr 0.926 0.074 0.250
9 Bi 0.393 0.607 0.250
10 Bi 0.607 0.393 0.750
11 Sb 0.111 0.889 0.250
12 Sb 0.889 0.111 0.750
13 N 0.277 0.723 0.750
14 N 0.723 0.277 0.250

Calculated values
Formation energy from raw total energies = -0.952 eV/atom
Mass density = 7.4 g/cm³
Fermi-level density of states = 13.78 states/eV/cell

***

(6)
The following is a PBE calculation of an optimized crystal structure of Pr4Bi2SeN2, from Alexandria via LeMat-Bulk.

Cell: 8.317 8.317 8.600 Å, 114.81 114.81 29.71°
Positions (direct):
1 Pr 0.028 0.028 0.281
2 Pr 0.280 0.280 0.365
3 Pr 0.720 0.720 0.635
4 Pr 0.972 0.972 0.719
5 Bi 0.395 0.395 0.954
6 Bi 0.605 0.605 0.046
7 Se 0.500 0.500 0.500
8 N 0.177 0.177 0.487
9 N 0.823 0.823 0.513

Calculated values
Formation energy from raw total energies = -1.203 eV/atom
Mass density = 6.8 g/cm³
Fermi-level density of states = 1.63 states/eV/cell

***

| no. | final energy (eV/atom) |
| --- | --- |
| 1 | -7.776 |
| 2 | -8.932 |
| 3 | -6.438 |
| 4 | -6.456 |
| 5 | -6.016 |
| 6 | -6.427 |